No. 1
Computed, not measured: an optimized crystal structure of LiMn2P at the GGA-PBEsol level of DFT.

Geometry as extended XYZ:
```
4
Lattice="-1.689 0.044 -2.893 -2.824 -1.584 1.625 -1.347 3.258 0.835" Properties=species:S:1:pos:R:3 pbc="T T T"
P -2.930 0.859 -0.216
Mn -1.412 -0.792 0.812
Mn -0.673 1.629 0.418
Li -0.844 0.022 -1.446
```

Output
* ρ: 5.58 g/cm3
* calculated total energy: -27.8 eV for the cell shown
* magnetization: 4.7 μB per formula unit
* crystal system: tetragonal
* energy of formation: -0.1286 eV/atom

No. 2
Computed, not measured: an optimized crystal structure of LiMnP2 at the GGA-PBEsol level of DFT.

Geometry as extended XYZ:
```
4
Lattice="-2.247 -2.228 -1.265 2.876 -2.263 -1.123 -0.106 -1.808 3.373" Properties=species:S:1:pos:R:3 pbc="T T T"
P 1.438 -1.132 -0.562
Li 0.261 -3.150 0.492
Mn -1.124 -1.114 -0.633
P -0.053 -0.904 1.686
```

Output
* ρ: 4.12 g/cm3
* calculated total energy: -23.8 eV for the cell shown
* magnetization: 3.0 μB per formula unit
* crystal system: tetragonal
* energy of formation: -0.1186 eV/atom
* polymorph energy (0 for the lowest one): 0.42 eV per formula unit

- Which formula does entry 1 have?
  LiMn2P